[1]
Entry from Alexandria: a geometry-optimized MgPa6S12 structure (PBE).

```
19
Lattice="6.016 3.474 3.631 -6.016 3.474 3.631 0.000 -6.947 3.631" Properties=species:S:1:pos:R:3 pbc="T T T"
Mg 0.000 0.000 0.000
Pa -2.958 0.549 3.829
Pa 1.004 -2.836 3.829
Pa -1.954 -2.287 7.065
Pa 1.954 2.287 3.829
Pa -1.004 2.836 7.065
Pa 2.958 -0.549 7.065
S -3.830 -3.977 6.048
S -5.359 1.329 4.846
S -1.509 -1.859 4.269
S 1.529 -5.306 4.846
S -0.855 2.236 4.269
S -2.364 0.378 6.625
S 2.364 -0.378 4.269
S 0.855 -2.236 6.625
S -1.529 5.306 6.048
S 1.509 1.859 6.625
S 5.359 -1.329 6.048
S 3.830 3.977 4.846
```

Values from the calculation:
The uncorrected formation energy comes out at -1548 meV per atom. Its space group is No. 148.

---

[2]
Entry from Alexandria: a geometry-optimized TePb3W structure (PBE).

```
5
Lattice="5.919 0.000 0.000 0.000 5.919 0.000 0.000 0.000 5.919" Properties=species:S:1:pos:R:3 pbc="T T T"
Te 0.000 0.000 0.000
Pb 0.000 0.000 2.959
Pb 0.000 2.959 0.000
Pb 2.959 0.000 0.000
W 2.959 2.959 2.959
```

Values from the calculation:
For the energy above the lowest structure with this stoichiometry, the calculation gives 1.077 eV per atom. The uncorrected formation energy comes out at 1672 meV per atom. Its space group is No. 221.

---

[3]
Entry from Alexandria: a geometry-optimized Th3CrPd12 structure (PBE).

```
16
Lattice="4.180 0.000 0.000 0.000 4.180 0.000 0.000 0.000 16.370" Properties=species:S:1:pos:R:3 pbc="T T T"
Th 0.000 0.000 0.000
Th 0.000 0.000 4.317
Th 0.000 0.000 12.053
Cr 0.000 0.000 8.185
Pd 0.000 2.090 2.102
Pd 0.000 2.090 6.298
Pd 0.000 2.090 10.072
Pd 0.000 2.090 14.268
Pd 2.090 0.000 2.102
Pd 2.090 0.000 6.298
Pd 2.090 0.000 10.072
Pd 2.090 0.000 14.268
Pd 2.090 2.090 0.000
Pd 2.090 2.090 4.179
Pd 2.090 2.090 8.185
Pd 2.090 2.090 12.192
```

Values from the calculation:
The formation energy from the elements comes out at -0.7344 eV per atom. Its space group is No. 123.

---

Taking the records one at a time from the top gives Fermi-level density of states values of 26.765 3.686 5.224 states/eV/cell.
Taking the records one at a time from the top gives E values of -7.2373 -3.7719 -6.6217 eV/atom.